(1)
10
Lattice="-5.028 5.028 3.249 5.028 -5.028 3.249 5.028 5.028 -3.249" Properties=species:S:1:pos:R:3 comment="Tl4Te5As PBE optimized geometry" raw_formation_energy_ev_per_atom=-0.1243 volume_a3_per_atom=32.86 final_energy_ev_per_atom=-3.1066 pbc="T T T"
Tl 3.132 0.885 0.000
Tl 4.142 -1.896 3.249
Tl 0.885 6.924 0.000
Tl 1.896 4.142 3.249
Te 6.039 2.258 -0.031
Te 2.258 4.017 -0.031
Te 2.770 1.011 3.218
Te -1.011 2.770 3.218
Te 0.000 0.000 6.253
As 0.000 0.000 3.582

***

(2)
14
Lattice="3.777 0.000 0.000 0.000 3.777 0.000 0.000 0.000 14.607" Properties=species:S:1:pos:R:3 comment="Lu2Ni4C PBE optimized geometry" volume_a3_per_atom=14.89 final_energy_ev_per_atom=-6.2016 formation_energy_ev_per_atom=-0.289 pbc="T T T"
Lu 0.000 0.000 2.460
Lu 0.000 0.000 12.148
Lu 1.889 1.889 4.844
Lu 1.889 1.889 9.764
Ni 0.000 0.000 5.428
Ni 0.000 0.000 9.180
Ni 0.000 1.889 0.000
Ni 0.000 1.889 7.304
Ni 1.889 0.000 0.000
Ni 1.889 0.000 7.304
Ni 1.889 1.889 1.876
Ni 1.889 1.889 12.732
C 0.000 0.000 7.304
C 1.889 1.889 0.000

***

(3)
20
Lattice="7.422 4.285 3.364 -7.422 4.285 3.364 0.000 -8.570 3.364" Properties=species:S:1:pos:R:3 comment="La7BCl12 PBE optimized geometry" raw_formation_energy_ev_per_atom=-1.9647 volume_a3_per_atom=32.09 final_energy_ev_per_atom=-5.1312 pbc="T T T"
La 0.000 0.000 0.000
La -1.517 -1.622 3.468
La -0.646 2.125 3.468
La 2.163 -0.503 3.468
La -2.163 0.503 6.623
La 0.646 -2.125 6.623
La 1.517 1.622 6.623
B 0.000 0.000 5.046
Cl -2.302 0.552 1.619
Cl 0.672 -2.269 1.619
Cl -3.914 -1.092 4.986
Cl -1.011 -3.935 5.105
Cl 1.629 1.717 1.619
Cl -2.903 2.843 5.105
Cl 2.903 -2.843 4.986
Cl -1.629 -1.717 8.472
Cl 1.011 3.935 4.986
Cl 3.914 1.092 5.105
Cl -0.672 2.269 8.472
Cl 2.302 -0.552 8.472

***

(4)
11
Lattice="6.490 0.000 0.000 -0.597 6.651 0.000 -1.288 -1.502 8.348" Properties=species:S:1:pos:R:3 comment="Nd3YEr7 PBE optimized geometry" volume_a3_per_atom=32.76 final_energy_ev_per_atom=-4.6670 formation_energy_ev_per_atom=0.125 pbc="T T T"
Nd 0.000 0.000 0.000
Nd 0.741 3.490 1.364
Nd 3.864 1.659 6.984
Y 2.601 -0.751 4.174
Er -1.128 4.225 4.850
Er 0.623 0.657 6.566
Er 1.270 3.977 7.142
Er 2.302 2.575 4.174
Er 3.335 1.172 1.206
Er 3.982 4.492 1.782
Er 5.733 0.925 3.498

***

(5)
16
Lattice="7.089 0.000 0.000 0.000 7.089 0.000 0.000 0.000 7.089" Properties=species:S:1:pos:R:3 comment="NdErAgOs PBE optimized geometry" volume_a3_per_atom=22.26 final_energy_ev_per_atom=-6.0378 formation_energy_ev_per_atom=-0.185 pbc="T T T"
Nd 0.000 0.000 0.000
Nd 0.000 3.544 3.544
Nd 3.544 0.000 3.544
Nd 3.544 3.544 0.000
Er 0.000 0.000 3.544
Er 0.000 3.544 0.000
Er 3.544 0.000 0.000
Er 3.544 3.544 3.544
Ag 1.772 1.772 5.316
Ag 1.772 5.316 1.772
Ag 5.316 1.772 1.772
Ag 5.316 5.316 5.316
Os 1.772 1.772 1.772
Os 1.772 5.316 5.316
Os 5.316 1.772 5.316
Os 5.316 5.316 1.772

***

(6)
8
Lattice="3.467 0.000 0.000 0.000 5.199 0.000 0.000 0.000 9.621" Properties=species:S:1:pos:R:3 comment="LaTa2Cl PBE optimized geometry" raw_formation_energy_ev_per_atom=-0.0338 volume_a3_per_atom=21.68 final_energy_ev_per_atom=-7.6537 pbc="T T T"
La 0.000 0.000 0.000
La 1.733 2.600 0.000
Ta 0.000 0.000 4.776
Ta 0.000 2.600 6.824
Ta 1.733 0.000 6.824
Ta 1.733 2.600 4.776
Cl 0.000 2.600 2.637
Cl 1.733 0.000 2.637